1.
Below is a geometry-optimized AcThSe2S structure, with properties calculated at the PBE-GGA level.

a b c (Å): 4.308 4.308 15.025
angles (deg): 90.00 90.00 90.00
Fractional positions:
S  0.500  0.500  0.500
S  0.000  0.000  0.500
Se  0.000  0.500  0.714
Se  0.500  0.000  0.888
Se  0.500  0.000  0.286
Se  0.000  0.500  0.112
Th  0.500  0.000  0.094
Th  0.000  0.500  0.906
Ac  0.000  0.500  0.368
Ac  0.500  0.000  0.632

Results
As for the energy relative to the elements, uncorrected: -1722 meV per atom. The calculation puts the total moment at 0.00 μB/f.u. The space-group type is No. 129. As for the total energy: -6.2471 eV/atom.

2.
Below is a geometry-optimized Ti2In2H structure, with properties calculated at the PBE-GGA level.

a b c (Å): 5.808 5.808 5.012
angles (deg): 90.00 90.00 90.00
Each line ends with the local moment (μB).
Fractional positions:
H  0.500  0.500  0.000  0.00
H  0.000  0.000  0.000  0.00
In  0.828  0.328  0.500  0.00
In  0.328  0.172  0.500  0.00
In  0.672  0.828  0.500  0.00
In  0.172  0.672  0.500  0.00
Ti  0.838  0.662  0.000  0.18
Ti  0.662  0.162  0.000  0.18
Ti  0.162  0.338  0.000  0.18
Ti  0.338  0.838  0.000  0.18

Results
The relative energy among the computed polymorphs comes out at 0 meV/atom. The calculation puts the total moment at 0.44 μB/f.u. The space-group type is No. 127. As for the total energy: -4.9563 eV/atom.

3.
Below is a geometry-optimized LiDyIr structure, with properties calculated at the PBE-GGA level.

a b c (Å): 3.301 4.387 4.387
angles (deg): 120.00 90.00 90.00
Fractional positions:
Li  0.168  0.667  0.333
Ir  0.166  0.000  0.000
Dy  0.667  0.333  0.667

Results
The relative energy among the computed polymorphs comes out at 92 meV/atom. As for the energy relative to the elements: -428 meV per atom. The calculation puts the total moment at 0.00 μB/f.u. The space-group type is No. 156. As for the total energy: -5.5539 eV/atom.

4.
Below is a geometry-optimized Sc6BiSe3 structure, with properties calculated at the PBE-GGA level.

a b c (Å): 3.892 11.288 11.551
angles (deg): 115.85 90.00 90.00
Fractional positions:
Sc  0.250  0.290  0.752
Sc  0.250  0.070  0.919
Sc  0.750  0.710  0.248
Sc  0.750  0.450  0.588
Sc  0.750  0.100  0.466
Sc  0.250  0.637  0.992
Sc  0.750  0.930  0.081
Sc  0.750  0.793  0.729
Sc  0.250  0.207  0.271
Sc  0.250  0.900  0.534
Sc  0.750  0.363  0.008
Sc  0.250  0.550  0.412
Bi  0.750  0.080  0.728
Bi  0.250  0.920  0.272
Se  0.750  0.723  0.479
Se  0.250  0.823  0.902
Se  0.250  0.277  0.521
Se  0.750  0.477  0.838
Se  0.250  0.523  0.162
Se  0.750  0.177  0.098

Results
As for the energy relative to the elements, uncorrected: -1061 meV per atom. The calculation puts the total moment at 0.00 μB/f.u. The space-group type is No. 11. As for the total energy: -6.2929 eV/atom.

5.
Below is a geometry-optimized Gd2GaCo structure, with properties calculated at the PBE-GGA level.

a b c (Å): 4.955 4.955 4.955
angles (deg): 60.00 60.00 60.00
Each line ends with the local moment (μB).
Fractional positions:
Ga  0.500  0.500  0.500  0.02
Co  0.000  0.000  0.000  0.73
Gd  0.750  0.750  0.750  6.94
Gd  0.250  0.250  0.250  6.94

Results
The relative energy among the computed polymorphs comes out at 68 meV/atom. As for the energy relative to the elements: -279 meV per atom. The calculation puts the total moment at 14.80 μB/f.u. The space-group type is No. 225. As for the total energy: -9.8523 eV/atom.

6.
Below is a geometry-optimized NaSrCa2As structure, with properties calculated at the PBE-GGA level.

a b c (Å): 5.765 5.765 6.130
angles (deg): 90.00 90.00 90.00
Fractional positions:
As  0.000  0.000  0.000
Na  0.500  0.500  0.500
Ca  0.500  0.000  0.000
Ca  0.000  0.500  0.000
Sr  0.000  0.000  0.500

Results
As for the energy relative to the elements: -481 meV per atom. The calculation puts the total moment at 0.01 μB/f.u. The space-group type is No. 123. As for the total energy: -2.8121 eV/atom.

7.
Below is a geometry-optimized UReSi2Ni structure, with properties calculated at the PBE-GGA level.

a b c (Å): 4.008 4.008 5.745
angles (deg): 110.41 110.41 90.00
Each line ends with the local moment (μB).
Fractional positions:
Si  0.380  0.380  0.760  -0.01
Si  0.620  0.620  0.240  -0.01
Ni  0.750  0.250  0.500  0.01
Re  0.250  0.750  0.500  -0.10
U  0.000  0.000  0.000  1.92

Results
As for the energy relative to the elements, uncorrected: -410 meV per atom. The calculation puts the total moment at 2.00 μB/f.u. The space-group type is No. 119. As for the total energy: -8.4825 eV/atom.

8.
Below is a geometry-optimized Ac8Bi3Te4As structure, with properties calculated at the PBE-GGA level.

a b c (Å): 9.561 9.530 9.561
angles (deg): 120.11 120.00 90.00
Fractional positions:
Ac  0.250  0.251  0.501
Ac  0.761  0.262  0.001
Ac  0.240  0.262  0.001
Ac  0.750  0.749  0.499
Ac  0.761  0.262  0.521
Ac  0.239  0.738  0.479
Ac  0.239  0.738  0.999
Ac  0.760  0.738  0.999
Te  0.000  0.000  0.500
Te  0.500  0.000  0.500
Te  0.000  0.000  0.000
Te  0.500  0.000  0.000
Bi  0.000  0.500  0.500
Bi  0.500  0.500  0.000
Bi  0.500  0.500  0.500
As  0.000  0.500  0.000

Results
As for the energy relative to the elements, uncorrected: -1332 meV per atom. The calculation puts the total moment at 0.00 μB/f.u. The space-group type is No. 166. As for the total energy: -5.1896 eV/atom.

9.
Below is a geometry-optimized RbMn2In2 structure, with properties calculated at the PBE-GGA level.

a b c (Å): 8.656 8.656 2.904
angles (deg): 90.00 90.00 90.00
Each line ends with the local moment (μB).
Fractional positions:
Mn  0.581  0.081  0.000  0.33
Mn  0.419  0.919  0.000  0.33
Mn  0.081  0.419  0.000  0.33
Mn  0.919  0.581  0.000  0.33
In  0.680  0.820  0.500  -0.02
In  0.320  0.180  0.500  -0.02
In  0.820  0.320  0.500  -0.02
In  0.180  0.680  0.500  -0.02
Rb  0.000  0.000  0.000  -0.01
Rb  0.500  0.500  0.000  -0.01

Results
The relative energy among the computed polymorphs comes out at 0 meV/atom. As for the energy relative to the elements: 594 meV per atom. The calculation puts the total moment at 0.60 μB/f.u. The space-group type is No. 127. As for the total energy: -4.3630 eV/atom.

10.
Below is a geometry-optimized BaGaHgBi2 structure, with properties calculated at the PBE-GGA level.

a b c (Å): 5.658 5.477 5.658
angles (deg): 90.00 90.00 90.00
Fractional positions:
Ba  0.500  0.500  0.500
Bi  0.000  0.000  0.500
Bi  0.500  0.000  0.000
Hg  0.000  0.500  0.000
Ga  0.000  0.000  0.000

Results
As for the energy relative to the elements: -238 meV per atom. The calculation puts the total moment at 0.00 μB/f.u. The space-group type is No. 123. As for the total energy: -2.8405 eV/atom.

11.
Below is a geometry-optimized InCo4Cu structure, with properties calculated at the PBE-GGA level.

a b c (Å): 4.798 4.798 4.798
angles (deg): 60.00 60.00 60.00
Each line ends with the local moment (μB).
Fractional positions:
Co  0.625  0.625  0.625  1.54
Co  0.126  0.625  0.625  1.54
Co  0.625  0.625  0.126  1.54
Co  0.625  0.126  0.625  1.54
In  0.000  0.000  0.000  -0.08
Cu  0.250  0.250  0.250  -0.01

Results
As for the energy relative to the elements: 192 meV per atom. The calculation puts the total moment at 5.95 μB/f.u. The space-group type is No. 216. As for the total energy: -5.6841 eV/atom.

12.
Below is a geometry-optimized Th2TaSe2Cl4 structure, with properties calculated at the PBE-GGA level.

a b c (Å): 3.613 3.613 22.860
angles (deg): 90.00 90.00 120.00
Fractional positions:
Cl  0.667  0.333  0.897
Cl  0.000  0.000  0.735
Cl  0.000  0.000  0.560
Cl  0.667  0.333  0.073
Se  0.667  0.333  0.397
Se  0.667  0.333  0.255
Th  0.000  0.000  0.986
Th  0.667  0.333  0.647
Ta  0.000  0.000  0.326

Results
As for the energy relative to the elements, uncorrected: -1401 meV per atom. The calculation puts the total moment at 0.00 μB/f.u. The space-group type is No. 156. As for the total energy: -5.9623 eV/atom.

13.
Below is a geometry-optimized Cs2KTeS4 structure, with properties calculated at the PBE-GGA level.

a b c (Å): 7.190 8.085 13.914
angles (deg): 83.40 75.03 63.60
Each line ends with the local moment (μB).
Fractional positions:
S  0.905  0.713  0.599  0.11
S  0.496  0.287  0.599  0.11
S  0.254  0.213  0.901  0.11
S  0.368  0.787  0.099  0.11
S  0.532  0.213  0.099  0.11
S  0.382  0.713  0.401  0.11
S  0.218  0.287  0.401  0.11
S  0.845  0.787  0.901  0.11
Cs  0.938  0.500  0.124  0.00
Cs  0.562  0.500  0.876  0.00
Cs  0.188  0.000  0.624  0.00
Cs  0.812  0.000  0.376  0.00
Te  0.500  0.000  0.000  0.06
Te  0.250  0.500  0.500  0.06
K  0.750  0.500  0.500  0.00
K  0.000  0.000  0.000  0.00

Results
As for the energy relative to the elements, uncorrected: -576 meV per atom. The calculation puts the total moment at 0.79 μB/f.u. The space-group type is No. 70. As for the total energy: -3.3835 eV/atom.

14.
Below is a geometry-optimized Ce2TmSb3Rh4 structure, with properties calculated at the PBE-GGA level.

a b c (Å): 4.345 4.345 11.537
angles (deg): 90.00 90.00 90.00
Each line ends with the local moment (μB).
Fractional positions:
Ce  0.000  0.500  0.766  0.70
Ce  0.500  0.000  0.234  0.70
Rh  0.000  0.500  0.354  -0.03
Rh  0.000  0.000  0.000  0.07
Rh  0.500  0.500  0.000  0.08
Rh  0.500  0.000  0.646  -0.03
Sb  0.000  0.000  0.500  -0.01
Sb  0.000  0.500  0.131  0.00
Sb  0.500  0.000  0.869  0.00
Tm  0.500  0.500  0.500  0.06

Results
As for the energy relative to the elements, uncorrected: -835 meV per atom. The calculation puts the total moment at 1.77 μB/f.u. The space-group type is No. 115. As for the total energy: -6.6458 eV/atom.

15.
Below is a geometry-optimized Ca3HfPt structure, with properties calculated at the PBE-GGA level.

a b c (Å): 5.519 5.519 5.519
angles (deg): 90.00 90.00 90.00
Each line ends with the local moment (μB).
Fractional positions:
Pt  0.500  0.500  0.500  0.14
Hf  0.000  0.000  0.000  0.84
Ca  0.000  0.500  0.000  0.10
Ca  0.500  0.000  0.000  0.06
Ca  0.000  0.000  0.500  0.16

Results
The relative energy among the computed polymorphs comes out at 1098 meV/atom. As for the energy relative to the elements: 1278 meV per atom. The calculation puts the total moment at 1.87 μB/f.u. The space-group type is No. 221. As for the total energy: -3.1216 eV/atom.

16.
Below is a geometry-optimized SrBr structure, with properties calculated at the PBE-GGA level.

a b c (Å): 5.127 5.127 6.907
angles (deg): 90.00 90.00 90.00
Fractional positions:
Br  0.750  0.250  0.000
Br  0.250  0.750  0.000
Sr  0.750  0.750  0.735
Sr  0.250  0.250  0.265

Results
As for the energy relative to the elements, uncorrected: -1418 meV per atom. The calculation puts the total moment at 0.00 μB/f.u. The space-group type is No. 129. As for the total energy: -3.0949 eV/atom.

17.
Below is a geometry-optimized MnZn structure, with properties calculated at the PBE-GGA level.

a b c (Å): 4.273 4.995 5.233
angles (deg): 90.00 90.00 90.00
Each line ends with the local moment (μB).
Fractional positions:
Mn  0.250  0.617  0.371  3.21
Mn  0.750  0.383  0.629  3.21
Mn  0.250  0.117  0.129  3.21
Mn  0.750  0.883  0.871  3.21
Zn  0.250  0.592  0.872  -0.07
Zn  0.750  0.408  0.128  -0.07
Zn  0.250  0.092  0.628  -0.07
Zn  0.750  0.908  0.372  -0.07

Results
As for the energy relative to the elements: 139 meV per atom. The calculation puts the total moment at 3.20 μB/f.u. The space-group type is No. 62. As for the total energy: -5.0825 eV/atom.

18.
Below is a geometry-optimized BeNiIr2 structure, with properties calculated at the PBE-GGA level.

a b c (Å): 2.692 3.654 5.057
angles (deg): 90.00 90.00 90.00
Fractional positions:
Be  0.500  0.500  0.740
Ir  0.000  0.000  0.988
Ir  0.500  0.500  0.266
Ni  0.000  0.000  0.506

Results
As for the energy relative to the elements: -89 meV per atom. The calculation puts the total moment at 0.00 μB/f.u. The space-group type is No. 25. As for the total energy: -6.8968 eV/atom.

19.
Below is a geometry-optimized Li4GeS4 structure, with properties calculated at the PBE-GGA level.

a b c (Å): 6.659 6.659 7.768
angles (deg): 90.00 90.00 92.79
Fractional positions:
Li  0.834  0.166  0.500
Li  0.166  0.834  0.500
Li  0.166  0.834  0.000
Li  0.885  0.580  0.750
Li  0.420  0.115  0.250
Li  0.115  0.420  0.250
Li  0.580  0.885  0.750
Li  0.834  0.166  0.000
S  0.202  0.202  0.990
S  0.798  0.798  0.490
S  0.664  0.270  0.750
S  0.798  0.798  0.010
S  0.336  0.730  0.250
S  0.730  0.336  0.250
S  0.270  0.664  0.750
S  0.202  0.202  0.510
Ge  0.339  0.339  0.750
Ge  0.661  0.661  0.250

Results
As for the energy relative to the elements, uncorrected: -1036 meV per atom. The relative energy among the computed polymorphs comes out at 26 meV/atom. The calculation puts the total moment at 0.00 μB/f.u. The space-group type is No. 63. As for the total energy: -4.2342 eV/atom.

20.
Below is a geometry-optimized Sm7ZnI12 structure, with properties calculated at the PBE-GGA level.

a b c (Å): 9.872 9.872 9.872
angles (deg): 107.85 107.85 107.85
Fractional positions:
I  0.314  0.770  0.923
I  0.845  0.608  0.526
I  0.474  0.155  0.392
I  0.923  0.314  0.770
I  0.526  0.845  0.608
I  0.077  0.686  0.230
I  0.686  0.230  0.077
I  0.392  0.474  0.155
I  0.155  0.392  0.474
I  0.770  0.923  0.314
I  0.608  0.526  0.845
I  0.230  0.077  0.686
Sm  0.037  0.318  0.108
Sm  0.963  0.682  0.892
Sm  0.500  0.500  0.500
Sm  0.108  0.037  0.318
Sm  0.682  0.892  0.963
Sm  0.892  0.963  0.682
Sm  0.318  0.108  0.037
Zn  0.000  0.000  0.000

Results
As for the energy relative to the elements, uncorrected: -1192 meV per atom. The calculation puts the total moment at 0.00 μB/f.u. The space-group type is No. 148. As for the total energy: -3.8379 eV/atom.